Entry 1:
DFT (PBE) results for a relaxed structure of CaNiSe. Values from VASP.

## Properties
As for the space-group type: P4/nmm, No. 129. The density comes out at 4.6 Mg/m³. The value obtained for the formation energy from raw total energies is -49 kJ per mole of atoms.

Geometry as Quantum ESPRESSO input:
```
&SYSTEM
  ibrav = 0, nat = 6, ntyp = 3
/
ATOMIC_SPECIES
Ni 58.69 Ni.upf
Ca 40.08 Ca.upf
Se 78.96 Se.upf
CELL_PARAMETERS angstrom
-0.877 4.514 0.432
-0.993 0.238 -4.504
-5.736 -1.230 1.199
ATOMIC_POSITIONS crystal
Ni 0.000 0.500 0.350
Ni 0.500 0.000 0.650
Ca 0.500 0.000 0.165
Ca 0.000 0.500 0.835
Se 0.500 0.500 0.500
Se 0.000 0.000 0.500
```

=====

Entry 2:
DFT (PBE) results for a relaxed structure of CaNiSe. Values from VASP.

## Properties
As for the space-group type: Imma, No. 74. The density comes out at 4.2 Mg/m³. The value obtained for the formation energy from raw total energies is -58 kJ per mole of atoms.

Geometry as Quantum ESPRESSO input:
```
&SYSTEM
  ibrav = 0, nat = 12, ntyp = 3
/
ATOMIC_SPECIES
Ni 58.69 Ni.upf
Ca 40.08 Ca.upf
Se 78.96 Se.upf
CELL_PARAMETERS angstrom
-3.432 -3.169 -6.621
-0.840 -7.150 3.858
-3.834 1.210 1.408
ATOMIC_POSITIONS crystal
Ni 0.000 0.250 0.226
Ni 0.000 0.750 0.774
Ni 0.500 0.750 0.726
Ni 0.500 0.250 0.274
Ca 0.750 0.750 0.250
Ca 0.750 0.250 0.750
Ca 0.250 0.250 0.750
Ca 0.250 0.750 0.250
Se 0.000 0.500 0.000
Se 0.500 0.500 0.500
Se 0.000 0.000 0.000
Se 0.500 0.000 0.500
```

=====

Entry 3:
DFT (PBE) results for a relaxed structure of CaNiSe. Values from VASP.

## Properties
As for the space-group type: P-6m2, No. 187. The density comes out at 5.1 Mg/m³. The value obtained for the formation energy from raw total energies is -96 kJ per mole of atoms.

Geometry as Quantum ESPRESSO input:
```
&SYSTEM
  ibrav = 0, nat = 3, ntyp = 3
/
ATOMIC_SPECIES
Se 78.96 Se.upf
Ni 58.69 Ni.upf
Ca 40.08 Ca.upf
CELL_PARAMETERS angstrom
4.067 0.000 0.000
-2.033 3.522 0.000
0.000 0.000 4.038
ATOMIC_POSITIONS crystal
Se 0.667 0.333 0.500
Ni 0.333 0.667 0.500
Ca 0.000 0.000 0.000
```

=====

Entry 4:
DFT (PBE) results for a relaxed structure of CaNiSe2. Values from VASP.

## Properties
As for the space-group type: Pmmm, No. 47. The density comes out at 5.5 Mg/m³. The value obtained for the formation energy from raw total energies is -56 kJ per mole of atoms.

Geometry as Quantum ESPRESSO input:
```
&SYSTEM
  ibrav = 0, nat = 4, ntyp = 3
/
ATOMIC_SPECIES
Se 78.96 Se.upf
Ni 58.69 Ni.upf
Ca 40.08 Ca.upf
CELL_PARAMETERS angstrom
-4.577 -4.124 -4.333
2.357 -1.281 3.903
-2.931 -1.090 1.415
ATOMIC_POSITIONS crystal
Se 0.000 0.000 0.000
Se 0.500 0.000 0.500
Ni 0.500 0.500 0.000
Ca 0.000 0.500 0.500
```

=====

Entry 5:
DFT (PBE) results for a relaxed structure of CaNiSe2. Values from VASP.

## Properties
As for the space-group type: I-42d, No. 122. The density comes out at 5.1 Mg/m³. The value obtained for the formation energy from raw total energies is -91 kJ per mole of atoms.

Geometry as Quantum ESPRESSO input:
```
&SYSTEM
  ibrav = 0, nat = 8, ntyp = 3
/
ATOMIC_SPECIES
Ca 40.08 Ca.upf
Ni 58.69 Ni.upf
Se 78.96 Se.upf
CELL_PARAMETERS angstrom
-1.234 6.990 -0.798
-3.361 -1.297 -6.168
-5.142 2.529 -1.866
ATOMIC_POSITIONS crystal
Ca 0.250 0.750 0.500
Ca 0.500 0.500 0.000
Ni 0.750 0.250 0.500
Ni 0.000 0.000 0.000
Se 0.701 0.125 0.250
Se 0.875 0.951 0.750
Se 0.049 0.625 0.250
Se 0.375 0.299 0.750
```

=====

Entry 6:
DFT (PBE) results for a relaxed structure of Ca3NiSe. Values from VASP.

## Properties
As for the space-group type: Pm-3m, No. 221. The value obtained for the relative energy among the computed polymorphs is 0 meV per atom. The density comes out at 2.9 Mg/m³. The value obtained for the formation energy from raw total energies is -37 kJ per mole of atoms.

Geometry as Quantum ESPRESSO input:
```
&SYSTEM
  ibrav = 0, nat = 5, ntyp = 3
/
ATOMIC_SPECIES
Se 78.96 Se.upf
Ni 58.69 Ni.upf
Ca 40.08 Ca.upf
CELL_PARAMETERS angstrom
-4.592 -2.099 1.565
2.602 -3.300 3.207
-0.296 3.556 3.900
ATOMIC_POSITIONS crystal
Se 0.500 0.500 0.500
Ni 0.000 0.000 0.000
Ca 0.000 0.000 0.500
Ca 0.500 0.000 0.000
Ca 0.000 0.500 0.000
```

=====

Entry 7:
DFT (PBE) results for a relaxed structure of Ca4NiSe. Values from VASP.

## Properties
As for the space-group type: F-43m, No. 216. The density comes out at 2.6 Mg/m³. The value obtained for the formation energy from raw total energies is 40 kJ per mole of atoms.

Geometry as Quantum ESPRESSO input:
```
&SYSTEM
  ibrav = 0, nat = 6, ntyp = 3
/
ATOMIC_SPECIES
Ca 40.08 Ca.upf
Ni 58.69 Ni.upf
Se 78.96 Se.upf
CELL_PARAMETERS angstrom
-3.601 2.340 4.805
-5.457 3.167 -1.310
-5.694 -2.691 1.365
ATOMIC_POSITIONS crystal
Ca 0.375 0.375 0.375
Ca 0.375 0.875 0.375
Ca 0.375 0.375 0.875
Ca 0.875 0.375 0.375
Ni 0.750 0.750 0.750
Se 0.000 0.000 0.000
```

=====

Entry 8:
DFT (PBE) results for a relaxed structure of CaNiSe. Values from VASP.

## Properties
As for the space-group type: P6_3/mmc, No. 194. The density comes out at 3.2 Mg/m³. The value obtained for the formation energy from raw total energies is -55 kJ per mole of atoms.

Geometry as Quantum ESPRESSO input:
```
&SYSTEM
  ibrav = 0, nat = 6, ntyp = 3
/
ATOMIC_SPECIES
Se 78.96 Se.upf
Ni 58.69 Ni.upf
Ca 40.08 Ca.upf
CELL_PARAMETERS angstrom
4.247 -2.452 0.000
0.000 4.904 0.000
0.000 0.000 8.752
ATOMIC_POSITIONS crystal
Se 0.000 0.000 0.250
Se 0.000 0.000 0.750
Ni 0.000 0.000 0.000
Ni 0.000 0.000 0.500
Ca 0.667 0.333 0.750
Ca 0.333 0.667 0.250
```

=====

Entry 9:
DFT (PBE) results for a relaxed structure of CaNiSe. Values from VASP.

## Properties
As for the space-group type: P1, No. 1. The density comes out at 4.9 Mg/m³. The value obtained for the formation energy from raw total energies is -87 kJ per mole of atoms.

Geometry as Quantum ESPRESSO input:
```
&SYSTEM
  ibrav = 0, nat = 6, ntyp = 3
/
ATOMIC_SPECIES
Ni 58.69 Ni.upf
Se 78.96 Se.upf
Ca 40.08 Ca.upf
CELL_PARAMETERS angstrom
-3.000 -1.065 -2.587
0.813 -2.456 -3.188
-3.121 -5.299 5.866
ATOMIC_POSITIONS crystal
Ni 0.467 0.486 0.203
Ni 0.329 0.771 0.645
Se 0.992 0.445 0.657
Se 0.150 0.122 0.158
Ca 0.739 0.948 0.404
Ca 0.589 0.256 0.881
```

=====

Entry 10:
DFT (PBE) results for a relaxed structure of CaNiSe2. Values from VASP.

## Properties
As for the space-group type: F-43m, No. 216. The density comes out at 5.3 Mg/m³. The value obtained for the formation energy from raw total energies is -11 kJ per mole of atoms.

Geometry as Quantum ESPRESSO input:
```
&SYSTEM
  ibrav = 0, nat = 4, ntyp = 3
/
ATOMIC_SPECIES
Se 78.96 Se.upf
Ca 40.08 Ca.upf
Ni 58.69 Ni.upf
CELL_PARAMETERS angstrom
-2.309 -0.912 -4.147
-1.708 -4.433 -0.890
-4.766 -0.801 0.014
ATOMIC_POSITIONS crystal
Se 0.250 0.250 0.250
Se 0.000 0.000 0.000
Ca 0.500 0.500 0.500
Ni 0.750 0.750 0.750
```

=====

Entry 11:
DFT (PBE) results for a relaxed structure of CaNiSe. Values from VASP.

## Properties
As for the space-group type: I4_1md, No. 109. The density comes out at 5.1 Mg/m³. The value obtained for the formation energy from raw total energies is -94 kJ per mole of atoms.

Geometry as Quantum ESPRESSO input:
```
&SYSTEM
  ibrav = 0, nat = 6, ntyp = 3
/
ATOMIC_SPECIES
Se 78.96 Se.upf
Ni 58.69 Ni.upf
Ca 40.08 Ca.upf
CELL_PARAMETERS angstrom
-1.167 2.656 -2.829
-3.180 -2.347 -0.889
-4.881 0.921 5.782
ATOMIC_POSITIONS crystal
Se 0.442 0.280 0.453
Se 0.692 0.530 0.953
Ni 0.609 0.113 0.787
Ni 0.859 0.363 0.287
Ca 0.026 0.696 0.621
Ca 0.276 0.946 0.121
```

=====

Entry 12:
DFT (PBE) results for a relaxed structure of CaNiSe. Values from VASP.

## Properties
As for the space-group type: Cm, No. 8. The density comes out at 4.6 Mg/m³. The value obtained for the formation energy from raw total energies is -85 kJ per mole of atoms.

Geometry as Quantum ESPRESSO input:
```
&SYSTEM
  ibrav = 0, nat = 6, ntyp = 3
/
ATOMIC_SPECIES
Se 78.96 Se.upf
Ni 58.69 Ni.upf
Ca 40.08 Ca.upf
CELL_PARAMETERS angstrom
4.547 0.006 0.002
-2.478 3.811 -0.002
-1.319 0.714 7.438
ATOMIC_POSITIONS crystal
Se 0.669 0.710 0.861
Se 0.397 0.983 0.285
Ni 0.591 0.788 0.541
Ni 0.916 0.463 0.418
Ca 0.290 0.089 0.658
Ca 0.044 0.335 0.087
```

=====

Across the entries above, E_tot takes the values -4.262; -4.352; -4.746; -4.268; -4.626; -3.439; -2.464; -4.325; -4.659; -3.803; -4.733; -4.637 eV/atom, respectively.